1.
# GGA+U Zn2Ni3O8, relaxed
# - E: -4.571 eV/atom
data_Zn2Ni3O8
_cell_length_a 9.780
_cell_length_b 5.648
_cell_length_c 4.856
_cell_angle_alpha 90.00
_cell_angle_beta 103.85
_cell_angle_gamma 90.00
_symmetry_space_group_name_H-M 'C 1 2/m 1'
_symmetry_Int_Tables_number 12
loop_
_symmetry_equiv_pos_as_xyz
'x,y,z'
'-x,-y,-z'
'-x,y,-z'
'x,-y,z'
'x+1/2,y+1/2,z'
'-x+1/2,-y+1/2,-z'
'-x+1/2,y+1/2,-z'
'x+1/2,-y+1/2,z'
loop_
_atom_site_label
_atom_site_fract_x
_atom_site_fract_y
_atom_site_fract_z
Zn1 0.208 0.000 0.117
Ni1 0.000 0.249 0.500
Ni2 0.000 0.500 0.000
O1 0.101 0.500 0.380
O2 0.109 0.000 0.424
O3 0.113 0.275 0.872


2.
# GGA+U Zn2Ni9O13, relaxed
# - E: -4.690 eV/atom
# - N(E_F): 21.469 states/eV/cell
data_Zn2Ni9O13
_cell_length_a 9.772
_cell_length_b 2.898
_cell_length_c 16.454
_cell_angle_alpha 90.00
_cell_angle_beta 98.74
_cell_angle_gamma 90.00
_symmetry_space_group_name_H-M 'C 1 2/m 1'
_symmetry_Int_Tables_number 12
loop_
_symmetry_equiv_pos_as_xyz
'x,y,z'
'-x,-y,-z'
'-x,y,-z'
'x,-y,z'
'x+1/2,y+1/2,z'
'-x+1/2,-y+1/2,-z'
'-x+1/2,y+1/2,-z'
'x+1/2,-y+1/2,z'
loop_
_atom_site_label
_atom_site_fract_x
_atom_site_fract_y
_atom_site_fract_z
Zn1 0.215 0.000 0.228
Ni1 0.000 0.500 0.500
Ni2 0.007 0.000 0.665
Ni3 0.064 0.000 0.876
Ni4 0.147 0.500 0.040
Ni5 0.250 0.000 0.582
O1 0.000 0.000 0.000
O2 0.087 0.500 0.146
O3 0.114 0.500 0.610
O4 0.126 0.500 0.311
O5 0.129 0.000 0.463
O6 0.139 0.000 0.770
O7 0.205 0.500 0.932


What did the first record say?
# GGA+U Zn2Ni3O8, relaxed
# - E: -4.571 eV/atom
data_Zn2Ni3O8
_cell_length_a 9.780
_cell_length_b 5.648
_cell_length_c 4.856
_cell_angle_alpha 90.00
_cell_angle_beta 103.85
_cell_angle_gamma 90.00
_symmetry_space_group_name_H-M 'C 1 2/m 1'
_symmetry_Int_Tables_number 12
loop_
_symmetry_equiv_pos_as_xyz
'x,y,z'
'-x,-y,-z'
'-x,y,-z'
'x,-y,z'
'x+1/2,y+1/2,z'
'-x+1/2,-y+1/2,-z'
'-x+1/2,y+1/2,-z'
'x+1/2,-y+1/2,z'
loop_
_atom_site_label
_atom_site_fract_x
_atom_site_fract_y
_atom_site_fract_z
Zn1 0.208 0.000 0.117
Ni1 0.000 0.249 0.500
Ni2 0.000 0.500 0.000
O1 0.101 0.500 0.380
O2 0.109 0.000 0.424
O3 0.113 0.275 0.872